KHoHgTe3 (GGA-PBE, optimized geometry); space-group type = No. 11; E = -3.51 eV/atom
1.0
9.0600 0.0000 0.0000
0.0000 4.4855 0.0000
-3.4636 0.0000 10.6270
K Ho Hg Te
2 2 2 6
Direct
0.2424 0.2500 0.2806 K
0.7576 0.7500 0.7194 K
0.3213 0.7500 0.8618 Ho
0.6787 0.2500 0.1382 Ho
0.0831 0.2500 0.6154 Hg
0.9169 0.7500 0.3846 Hg
0.0812 0.2500 0.8649 Te
0.2546 0.7500 0.5579 Te
0.4492 0.7500 0.1463 Te
0.5508 0.2500 0.8537 Te
0.7454 0.2500 0.4421 Te
0.9188 0.7500 0.1351 Te



KHoHgTe3 (GGA-PBE, optimized geometry); space-group type = No. 12; E = -3.44 eV/atom
1.0
10.1826 -2.2083 0.0000
10.1826 2.2083 0.0000
-1.9606 0.0000 9.4924
K Ho Hg Te
2 2 2 6
Direct
0.1396 0.1396 0.0667 K
0.8604 0.8604 0.9333 K
0.1747 0.1747 0.5748 Ho
0.8253 0.8253 0.4252 Ho
0.4688 0.4688 0.2783 Hg
0.5312 0.5312 0.7217 Hg
0.0000 0.0000 0.5000 Te
0.3240 0.3240 0.2045 Te
0.3267 0.3267 0.6418 Te
0.5000 0.5000 0.0000 Te
0.6733 0.6733 0.3582 Te
0.6760 0.6760 0.7955 Te



LaHoHg6 (GGA-PBE, optimized geometry); energy of formation = -35.6 kJ/mol of atoms; space-group type = No. 187
1.0
6.6751 0.0000 0.0000
-3.3376 5.7808 0.0000
0.0000 0.0000 5.0538
La Ho Hg
1 1 6
Direct
0.0000 0.0000 0.0000 La
0.6667 0.3333 0.5000 Ho
0.1721 0.3442 0.5000 Hg
0.1721 0.8279 0.5000 Hg
0.5012 0.0024 0.0000 Hg
0.5012 0.4988 0.0000 Hg
0.6558 0.8279 0.5000 Hg
0.9976 0.4988 0.0000 Hg



LaHoHg (GGA-PBE, optimized geometry); energy of formation = -10.2 kJ/mol of atoms; space-group type = No. 216
1.0
0.0000 3.6865 3.6865
3.6865 0.0000 3.6865
3.6865 3.6865 0.0000
La Ho Hg
1 1 1
Direct
0.0000 0.0000 0.0000 La
0.5000 0.5000 0.5000 Ho
0.7500 0.7500 0.7500 Hg



LiHoHg (GGA-PBE, optimized geometry); space-group type = No. 216; E = -2.35 eV/atom
1.0
0.0000 3.4247 3.4247
3.4247 0.0000 3.4247
3.4247 3.4247 0.0000
Li Ho Hg
1 1 1
Direct
0.0000 0.0000 0.0000 Li
0.5000 0.5000 0.5000 Ho
0.7500 0.7500 0.7500 Hg



LiHoHgO3 (GGA-PBE, optimized geometry); space-group type = No. 63; E = -5.46 eV/atom
1.0
1.6924 -4.9929 0.0000
1.6924 4.9929 0.0000
0.0000 0.0000 8.8520
Li Ho Hg O
2 2 2 6
Direct
0.0207 0.9793 0.7500 Li
0.9793 0.0207 0.2500 Li
0.5000 0.5000 0.0000 Ho
0.5000 0.5000 0.5000 Ho
0.2533 0.7467 0.2500 Hg
0.7467 0.2533 0.7500 Hg
0.1279 0.8721 0.5805 O
0.1279 0.8721 0.9195 O
0.4248 0.5752 0.7500 O
0.5752 0.4248 0.2500 O
0.8721 0.1279 0.0805 O
0.8721 0.1279 0.4195 O



LiHoHgS3 (GGA-PBE, optimized geometry); space-group type = No. 62; E = -4.41 eV/atom
1.0
10.5239 0.0000 0.0000
0.0000 3.9772 0.0000
0.0000 0.0000 12.5848
Li Ho Hg S
4 4 4 12
Direct
0.1458 0.2500 0.0799 Li
0.3542 0.7500 0.5799 Li
0.6458 0.2500 0.4201 Li
0.8542 0.7500 0.9201 Li
0.1215 0.2500 0.7605 Ho
0.3785 0.7500 0.2605 Ho
0.6215 0.2500 0.7395 Ho
0.8785 0.7500 0.2395 Ho
0.1264 0.2500 0.3939 Hg
0.3736 0.7500 0.8939 Hg
0.6264 0.2500 0.1061 Hg
0.8736 0.7500 0.6061 Hg
0.1023 0.7500 0.6113 S
0.1308 0.7500 0.2056 S
0.1447 0.7500 0.9152 S
0.3553 0.2500 0.4152 S
0.3692 0.2500 0.7056 S
0.3977 0.2500 0.1113 S
0.6023 0.7500 0.8887 S
0.6308 0.7500 0.2944 S
0.6447 0.7500 0.5848 S
0.8553 0.2500 0.0848 S
0.8692 0.2500 0.7944 S
0.8977 0.2500 0.3887 S



LiHoHgS3 (GGA-PBE, optimized geometry); space-group type = No. 63; E = -4.35 eV/atom
1.0
2.0422 -7.1191 0.0000
2.0422 7.1191 0.0000
0.0000 0.0000 10.4210
Li Ho Hg S
2 2 2 6
Direct
0.1350 0.8650 0.7500 Li
0.8650 0.1350 0.2500 Li
0.5000 0.5000 0.0000 Ho
0.5000 0.5000 0.5000 Ho
0.1271 0.8729 0.2500 Hg
0.8729 0.1271 0.7500 Hg
0.1314 0.8686 0.0227 S
0.1314 0.8686 0.4773 S
0.4506 0.5494 0.2500 S
0.5494 0.4506 0.7500 S
0.8686 0.1314 0.5227 S
0.8686 0.1314 0.9773 S



Copy entry 8 word for word.
LiHoHgS3 (GGA-PBE, optimized geometry); space-group type = No. 63; E = -4.35 eV/atom
1.0
2.0422 -7.1191 0.0000
2.0422 7.1191 0.0000
0.0000 0.0000 10.4210
Li Ho Hg S
2 2 2 6
Direct
0.1350 0.8650 0.7500 Li
0.8650 0.1350 0.2500 Li
0.5000 0.5000 0.0000 Ho
0.5000 0.5000 0.5000 Ho
0.1271 0.8729 0.2500 Hg
0.8729 0.1271 0.7500 Hg
0.1314 0.8686 0.0227 S
0.1314 0.8686 0.4773 S
0.4506 0.5494 0.2500 S
0.5494 0.4506 0.7500 S
0.8686 0.1314 0.5227 S
0.8686 0.1314 0.9773 S



Repeat the eighth record exactly.
LiHoHgS3 (GGA-PBE, optimized geometry); space-group type = No. 63; E = -4.35 eV/atom
1.0
2.0422 -7.1191 0.0000
2.0422 7.1191 0.0000
0.0000 0.0000 10.4210
Li Ho Hg S
2 2 2 6
Direct
0.1350 0.8650 0.7500 Li
0.8650 0.1350 0.2500 Li
0.5000 0.5000 0.0000 Ho
0.5000 0.5000 0.5000 Ho
0.1271 0.8729 0.2500 Hg
0.8729 0.1271 0.7500 Hg
0.1314 0.8686 0.0227 S
0.1314 0.8686 0.4773 S
0.4506 0.5494 0.2500 S
0.5494 0.4506 0.7500 S
0.8686 0.1314 0.5227 S
0.8686 0.1314 0.9773 S